No. 1
DFT (PBE-GGA) results for crystalline TlTcSe2S at its relaxed geometry.

Cell lengths 5.241, 5.356, 5.241 Å; angles 90.00, 90.00, 90.00 degrees
Fractional coordinates of all 5 atoms:
Tl1 0.000 0.000 0.000
Se1 0.000 0.000 0.500
Se2 0.500 0.000 0.000
Tc1 0.000 0.500 0.000
S1 0.500 0.500 0.500

Values from the calculation:
Crystal system: tetragonal
E_tot: -2.8907 eV per atom
Fermi-level density of states: 8.8 states/eV/f.u.
M_tot: 1.3 μB per formula unit

No. 2
DFT (PBE-GGA) results for crystalline TcW2Se4S2 at its relaxed geometry.

Cell lengths 3.312, 3.312, 21.689 Å; angles 90.00, 90.00, 120.00 degrees
Fractional coordinates of all 9 atoms:
Tc1 0.000 0.000 0.329
Se1 0.000 0.000 0.570
Se2 0.667 0.333 0.905
W1 0.667 0.333 0.648
Se3 0.000 0.000 0.726
S1 0.667 0.333 0.395
W2 0.000 0.000 0.982
S2 0.667 0.333 0.262
Se4 0.667 0.333 0.060

Values from the calculation:
Crystal system: trigonal
E_tot: -7.0116 eV per atom
Fermi-level density of states: 2.0 states/eV/f.u.
M_tot: 0.0 μB per formula unit

No. 3
DFT (PBE-GGA) results for crystalline ZnTc2SeS at its relaxed geometry.

Cell lengths 4.678, 4.709, 4.678 Å; angles 90.00, 90.00, 90.00 degrees
Fractional coordinates of all 5 atoms:
Zn1 0.000 0.500 0.000
S1 0.500 0.500 0.500
Tc1 0.000 0.000 0.500
Tc2 0.500 0.000 0.000
Se1 0.000 0.000 0.000

Values from the calculation:
Crystal system: tetragonal
E_tot: -4.6918 eV per atom
Fermi-level density of states: 6.0 states/eV/f.u.
M_tot: 3.9 μB per formula unit

Repeat the second record exactly.
DFT (PBE-GGA) results for crystalline TcW2Se4S2 at its relaxed geometry.

Cell lengths 3.312, 3.312, 21.689 Å; angles 90.00, 90.00, 120.00 degrees
Fractional coordinates of all 9 atoms:
Tc1 0.000 0.000 0.329
Se1 0.000 0.000 0.570
Se2 0.667 0.333 0.905
W1 0.667 0.333 0.648
Se3 0.000 0.000 0.726
S1 0.667 0.333 0.395
W2 0.000 0.000 0.982
S2 0.667 0.333 0.262
Se4 0.667 0.333 0.060

Values from the calculation:
Crystal system: trigonal
E_tot: -7.0116 eV per atom
Fermi-level density of states: 2.0 states/eV/f.u.
M_tot: 0.0 μB per formula unit

Repeat the first record exactly.
DFT (PBE-GGA) results for crystalline TlTcSe2S at its relaxed geometry.

Cell lengths 5.241, 5.356, 5.241 Å; angles 90.00, 90.00, 90.00 degrees
Fractional coordinates of all 5 atoms:
Tl1 0.000 0.000 0.000
Se1 0.000 0.000 0.500
Se2 0.500 0.000 0.000
Tc1 0.000 0.500 0.000
S1 0.500 0.500 0.500

Values from the calculation:
Crystal system: tetragonal
E_tot: -2.8907 eV per atom
Fermi-level density of states: 8.8 states/eV/f.u.
M_tot: 1.3 μB per formula unit